DFT (PBE) results for a relaxed FeOs2W crystal.

Unit cell a=3.0348 b=4.3014 c=8.7580 alpha=90.00 beta=90.00 gamma=90.00
Space group Imm2 (No. 44)
Symmetry-distinct sites (fractional):
Fe 0.0000 0.0000 0.0000
Os 0.0000 0.0000 0.4961
Os 0.0000 0.5000 0.2649
W 0.0000 0.5000 0.7341

The calculation puts the energy above the most stable polymorph in this dataset at 217.8 meV per atom. The total magnetization is 5.64 μB per cell.